Material: Ni2SnPO
Method: DFT, PBE+U
State: optimized geometry

Values from the calculation:
The value obtained for the total magnetization is 2.2 μB/cell. The value obtained for the density of states at the Fermi level is 2.2 states/eV/f.u. The energy comes out at -3.29 eV/atom.

Unit cell a=4.2179 b=5.4332 c=4.2179 alpha=90.00 beta=90.00 gamma=90.00
With the nearest neighbours (Å) after each atom.
Sites, in units of the cell vectors:
1 Ni 0.5000 0.0000 0.0000  2 P 2.11
2 Sn 0.0000 0.5000 0.0000  2 P 2.72, 4 O 2.98
3 P 0.0000 0.0000 0.0000  4 Ni 2.11
4 Ni 0.0000 0.0000 0.5000  2 P 2.11
5 O 0.5000 0.5000 0.5000  4 Sn 2.98